An optimized crystal structure of LiMgVF6, computed with GGA+U.

Calculated values
Calculated total energy ... -5.601 eV/atom

Geometry as extended XYZ:
```
18
Lattice="4.707 0.000 0.000 0.000 4.707 0.000 0.000 0.000 9.268" Properties=species:S:1:pos:R:3 pbc="T T T"
Li 2.354 2.354 1.536
Li 0.000 0.000 6.170
Mg 2.354 2.354 4.628
Mg 0.000 0.000 9.262
V 2.354 2.354 7.729
V 0.000 0.000 3.095
F 0.938 3.769 4.577
F 3.769 0.938 4.577
F 1.415 1.415 9.211
F 3.292 3.292 9.211
F 0.906 3.801 1.569
F 3.801 0.906 1.569
F 1.447 1.447 6.203
F 3.260 3.260 6.203
F 3.746 0.961 7.760
F 0.961 3.746 7.760
F 3.314 3.314 3.126
F 1.393 1.393 3.126
```

An optimized crystal structure of LiMgWF6, computed with GGA+U.

Calculated values
Calculated total energy ... -5.375 eV/atom

Geometry as extended XYZ:
```
18
Lattice="5.416 0.000 0.000 -2.708 4.691 0.000 0.000 0.000 8.844" Properties=species:S:1:pos:R:3 pbc="T T T"
Li 0.000 0.000 0.000
Li 0.000 0.000 4.422
Mg 2.708 1.564 2.211
Mg 0.000 3.127 6.633
W 0.000 3.127 2.211
W 2.708 1.564 6.633
F 1.846 3.061 1.163
F 4.436 1.561 1.163
F -0.866 4.622 5.585
F -1.728 3.130 7.681
F 0.981 1.561 3.259
F 3.570 3.061 3.259
F 0.866 4.622 7.681
F 3.574 0.069 3.259
F -0.862 1.630 5.585
F 1.842 0.069 1.163
F 1.728 3.130 5.585
F 0.862 1.630 7.681
```